(1)
A relaxed structure of In3CuH. Source: Alexandria, functional GGA-PBE.

- relative energy among the computed polymorphs (meV/atom) = 95.9
- E_tot (eV/cell) = -13.3
- SG = Pm-3m (221)

Cell: 5.0478 5.0478 5.0478 Å, 90.00 90.00 90.00°
Fractional positions:
In 0.0000 0.0000 0.5000
In 0.0000 0.5000 0.0000
In 0.5000 0.0000 0.0000
Cu 0.0000 0.0000 0.0000
H 0.5000 0.5000 0.5000

(2)
A relaxed structure of InCuHIr2. Source: Alexandria, functional GGA-PBE.

- E_tot (eV/cell) = -27.5
- SG = P4/mmm (123)

Cell: 4.0322 4.0322 3.9368 Å, 90.00 90.00 90.00°
Fractional positions:
In 0.0000 0.0000 0.0000
Cu 0.5000 0.5000 0.0000
H 0.5000 0.5000 0.5000
Ir 0.0000 0.5000 0.5000
Ir 0.5000 0.0000 0.5000

Number 1: Fermi-level density of states 2.60 states/eV per cell. Number 2: Fermi-level density of states 4.55 states/eV per cell.